{
  "formula": "SmCo2Si4",
  "functional": "PBE",
  "state": "optimized geometry",
  "lattice": [[3.959, 0.000, 0.000], [0.000, 6.230, 0.000], [0.000, 0.000, 16.430]],
  "species": ["Sm", "Sm", "Sm", "Sm", "Co", "Co", "Co", "Co", "Co", "Co", "Co", "Co", "Si", "Si", "Si", "Si", "Si", "Si", "Si", "Si", "Si", "Si", "Si", "Si", "Si", "Si", "Si", "Si"],
  "fractional_positions": [[0.750, 0.014, 0.640], [0.250, 0.986, 0.360], [0.250, 0.514, 0.860], [0.750, 0.486, 0.140], [0.250, 0.745, 0.534], [0.750, 0.255, 0.466], [0.750, 0.245, 0.966], [0.250, 0.755, 0.034], [0.250, 0.993, 0.789], [0.750, 0.007, 0.211], [0.750, 0.493, 0.711], [0.250, 0.507, 0.289], [0.250, 0.294, 0.702], [0.750, 0.706, 0.298], [0.750, 0.794, 0.798], [0.250, 0.206, 0.202], [0.250, 0.687, 0.681], [0.750, 0.313, 0.319], [0.750, 0.187, 0.819], [0.250, 0.813, 0.181], [0.250, 0.141, 0.526], [0.750, 0.859, 0.474], [0.750, 0.641, 0.974], [0.250, 0.359, 0.026], [0.250, 0.473, 0.433], [0.750, 0.527, 0.567], [0.750, 0.973, 0.067], [0.250, 0.027, 0.933]],
  "final_energy_ev_per_atom": -6.370,
  "raw_formation_energy_ev_per_atom": -0.567,
  "rho_g_cm3": 6.238
}